1.
DFT (meta-GGA SCAN) results for FeRh2 at its PBEsol-relaxed geometry.

Results
**Space-group type**: P-3m1 (164)
**Calculated total energy**: -171.31 eV/cell

a b c (Å): 2.6093 2.6093 12.6393
angles (deg): 90.00 90.00 120.00
Fractional positions:
Fe: 0.3333 0.6667 0.0736
Fe: 0.6667 0.3333 0.9264
Rh: 0.0000 0.0000 0.2360
Rh: 0.0000 0.0000 0.7640
Rh: 0.3333 0.6667 0.5872
Rh: 0.6667 0.3333 0.4128



2.
DFT (meta-GGA SCAN) results for FeRh at its PBEsol-relaxed geometry.

Results
**Space-group type**: P-1 (2)
**Calculated total energy**: -156.09 eV/cell

a b c (Å): 2.6270 5.2112 5.7539
angles (deg): 103.31 103.19 90.02
Fractional positions:
Fe: 0.0000 0.0000 0.0000
Fe: 0.3333 0.1654 0.6676
Fe: 0.6667 0.8346 0.3324
Rh: 0.0000 0.5000 0.0000
Rh: 0.3339 0.6799 0.6674
Rh: 0.6661 0.3201 0.3326



3.
DFT (meta-GGA SCAN) results for Fe4Rh at its PBEsol-relaxed geometry.

Results
**Space-group type**: Im-3m (229)
**Polymorph energy (0 for the lowest one)**: 4.83 eV per formula unit
**Calculated total energy**: -204.49 eV/cell

a b c (Å): 5.4355 5.4355 5.4355
angles (deg): 90.00 90.00 90.00
Fractional positions:
Fe: 0.2500 0.2500 0.2500
Fe: 0.2500 0.2500 0.7500
Fe: 0.2500 0.7500 0.2500
Fe: 0.2500 0.7500 0.7500
Fe: 0.7500 0.2500 0.2500
Fe: 0.7500 0.2500 0.7500
Fe: 0.7500 0.7500 0.2500
Fe: 0.7500 0.7500 0.7500
Rh: 0.0000 0.0000 0.0000
Rh: 0.5000 0.5000 0.5000



4.
DFT (meta-GGA SCAN) results for FeRh at its PBEsol-relaxed geometry.

Results
**Space-group type**: P1 (1)
**Calculated total energy**: -155.96 eV/cell

a b c (Å): 2.6031 4.9841 6.1690
angles (deg): 78.18 79.45 75.89
Fractional positions:
Fe: 0.0000 0.0000 0.0000
Fe: 0.1484 0.4775 0.9943
Fe: 0.5426 0.1735 0.3123
Rh: 0.4044 0.6885 0.3220
Rh: 0.6578 0.8406 0.6837
Rh: 0.9154 0.3275 0.6428



Number 1: calculated formation energy 0.017 eV per formula unit, size of the total moment 3.0 μB per formula unit. Number 2: calculated formation energy -0.130 eV per formula unit, size of the total moment 3.4 μB per formula unit. Number 3: calculated formation energy 4.044 eV per formula unit, size of the total moment 13.1 μB per formula unit. Number 4: calculated formation energy -0.085 eV per formula unit, size of the total moment 3.4 μB per formula unit.